1.
VASP calculation (GGA-PBE) on an optimized crystal structure of InCoRe2.

Calculated values
Size of the total moment = 1.52 Bohr magnetons per cell
Energy of formation from the pure elements = 0.786 eV per atom
Symmetry = P4/mmm

Geometry as extended XYZ:
```
4
Lattice="4.586 0.000 0.000 0.000 4.586 0.000 0.000 0.000 2.911" Properties=species:S:1:pos:R:3 pbc="T T T"
In 0.000 0.000 0.000
Co 2.293 2.293 0.000
Re 0.000 2.293 1.456
Re 2.293 0.000 1.456
```

***

2.
VASP calculation (GGA-PBE) on an optimized crystal structure of MgSn2N.

Calculated values
Size of the total moment = 0.00 Bohr magnetons per cell
Symmetry = I-42d
Uncorrected formation energy = 0.3222 eV per atom

Geometry as extended XYZ:
```
8
Lattice="-3.411 3.411 3.661 3.411 -3.411 3.661 3.411 3.411 -3.661" Properties=species:S:1:pos:R:3 pbc="T T T"
Mg 0.000 0.000 0.000
Mg 0.000 3.411 1.830
Sn 1.706 -1.156 2.746
Sn 2.255 1.706 0.915
Sn 1.706 4.567 -0.915
Sn 1.156 1.706 4.576
N 3.411 0.000 1.830
N 0.000 0.000 3.661
```

***

3.
VASP calculation (GGA-PBE) on an optimized crystal structure of Ca3AlHg2Au8.

Calculated values
Size of the total moment = 0.00 Bohr magnetons per cell
Energy of formation from the pure elements = -0.438 eV per atom
Symmetry = P-3m1

Geometry as extended XYZ:
```
14
Lattice="5.688 0.000 0.000 -2.844 4.926 0.000 0.000 0.000 10.932" Properties=species:S:1:pos:R:3 pbc="T T T"
Ca 0.000 0.000 0.000
Ca 0.000 3.284 6.195
Ca 2.844 1.642 4.737
Al 0.000 0.000 5.466
Hg 0.000 3.284 0.964
Hg 2.844 1.642 9.968
Au 0.000 1.645 3.408
Au -1.420 4.104 3.408
Au 0.000 3.284 9.161
Au 1.424 0.822 7.524
Au 1.420 4.104 3.408
Au 2.844 1.642 1.771
Au 4.264 0.822 7.524
Au 2.844 3.282 7.524
```

***

4.
VASP calculation (GGA-PBE) on an optimized crystal structure of SnAsO5.

Calculated values
Size of the total moment = 2.10 Bohr magnetons per cell
Symmetry = C2/c
Uncorrected formation energy = -1.0548 eV per atom

Geometry as extended XYZ:
```
14
Lattice="3.712 -3.935 0.000 3.712 3.935 0.000 -3.433 0.000 7.052" Properties=species:S:1:pos:R:3 pbc="T T T"
Sn 0.000 0.000 0.000
Sn -1.716 0.000 3.526
As 1.137 1.048 5.289
As 2.854 -1.048 1.763
O 2.854 3.268 1.763
O 1.657 1.931 3.922
O 0.617 1.931 6.656
O 1.610 0.068 1.304
O -0.107 -0.068 4.830
O 4.097 0.068 2.222
O 2.381 -0.068 5.748
O 3.374 -1.931 0.396
O 2.333 -1.931 3.130
O 1.137 -3.268 5.289
```

***

5.
VASP calculation (GGA-PBE) on an optimized crystal structure of MnCuSi.

Calculated values
Size of the total moment = 2.02 Bohr magnetons per cell
Symmetry = P3m1
Uncorrected formation energy = 0.0677 eV per atom

Geometry as extended XYZ:
```
3
Lattice="2.632 0.000 0.000 -1.316 2.279 0.000 0.000 0.000 6.087" Properties=species:S:1:pos:R:3 pbc="T T T"
Mn 0.000 0.000 0.000
Cu 0.000 1.520 3.954
Si 1.316 0.760 1.920
```

***

6.
VASP calculation (GGA-PBE) on an optimized crystal structure of CsPu3Cl8.

Calculated values
Size of the total moment = 17.00 Bohr magnetons per cell
Symmetry = R-3m
Uncorrected formation energy = -1.8429 eV per atom

Geometry as extended XYZ:
```
12
Lattice="4.504 2.600 6.043 -4.504 2.600 6.043 0.000 -5.201 6.043" Properties=species:S:1:pos:R:3 pbc="T T T"
Cs 0.000 0.000 0.000
Pu -2.252 -1.300 6.043
Pu -2.252 1.300 12.086
Pu 0.000 2.600 6.043
Cl 0.000 0.000 4.630
Cl 0.000 -2.226 7.451
Cl -1.928 1.113 7.451
Cl -1.928 -1.113 10.678
Cl 1.928 1.113 7.451
Cl 1.928 -1.113 10.678
Cl 0.000 2.226 10.678
Cl 0.000 0.000 13.499
```

***

7.
VASP calculation (GGA-PBE) on an optimized crystal structure of SrPbSeBr2.

Calculated values
Size of the total moment = 0.00 Bohr magnetons per cell
ΔE to the lowest computed polymorph = 469.8 meV per atom
Symmetry = P4/mmm
Uncorrected formation energy = -0.8626 eV per atom

Geometry as extended XYZ:
```
5
Lattice="5.647 0.000 0.000 0.000 5.647 0.000 0.000 0.000 6.030" Properties=species:S:1:pos:R:3 pbc="T T T"
Sr 0.000 0.000 0.000
Pb 2.823 2.823 3.015
Se 0.000 0.000 3.015
Br 0.000 2.823 0.000
Br 2.823 0.000 0.000
```

***

8.
VASP calculation (GGA-PBE) on an optimized crystal structure of BeTcBW.

Calculated values
Size of the total moment = 0.00 Bohr magnetons per cell
Energy of formation from the pure elements = -0.367 eV per atom
Symmetry = Amm2

Geometry as extended XYZ:
```
4
Lattice="3.126 0.000 0.000 0.000 1.569 4.354 0.000 -1.569 4.354" Properties=species:S:1:pos:R:3 pbc="T T T"
Be 0.000 0.000 0.000
Tc 1.563 0.000 3.642
B 1.563 0.000 1.166
W 0.000 0.000 6.192
```